A plane-wave DFT calculation with PBE+U was carried out for a geometry-optimized MnAl2F2 structure.

Values from the calculation:
ΔE to the lowest computed polymorph ... 0.1031 eV/atom
Total energy ... -47.892 eV/cell
Mass density ... 2.55 g/cm3
M_tot ... 4.66 μB per formula unit

Lattice parameters (Å, degrees): 8.1770 8.1770 2.8615 90.00 90.00 90.00
With the nearest neighbours (Å) after each atom.
Element x y z (fractional)
Mn (0.0000, 0.0000, 0.0000)  2 Mn 2.86, 4 Al 2.92
Mn (0.5000, 0.5000, 0.0000)  2 Mn 2.86, 4 Al 2.92
Al (0.2127, 0.7127, 0.0000)  2 F 1.87
Al (0.7127, 0.7873, 0.0000)  2 F 1.87
Al (0.7873, 0.2873, 0.0000)  2 F 1.87
Al (0.2873, 0.2127, 0.0000)  2 F 1.87
F (0.1090, 0.6090, 0.5000)  2 Al 1.87
F (0.6090, 0.8910, 0.5000)  2 Al 1.87
F (0.8910, 0.3910, 0.5000)  2 Al 1.87
F (0.3910, 0.1090, 0.5000)  2 Al 1.87